[1]
{
  "formula": "LaPmGaPd",
  "functional": "GGA-PBE",
  "state": "optimized geometry",
  "dos_ef_per_ev_atom": 0.9631,
  "cell": [[0.0000, 3.6952, 3.6952], [3.6952, 0.0000, 3.6952], [3.6952, 3.6952, 0.0000]],
  "species": ["La", "Pm", "Ga", "Pd"],
  "fractional_positions": [[0.0000, 0.0000, 0.0000], [0.5000, 0.5000, 0.5000], [0.2500, 0.2500, 0.2500], [0.7500, 0.7500, 0.7500]]
}

---

[2]
{
  "formula": "LaPmGa2Pd2",
  "functional": "GGA-PBE",
  "state": "optimized geometry",
  "dos_ef_per_ev_atom": 0.6305,
  "cell": [[4.5668, 0.0000, 0.0000], [-2.2834, 3.9549, 0.0000], [0.0000, 0.0000, 7.2892]],
  "species": ["La", "Pm", "Ga", "Ga", "Pd", "Pd"],
  "fractional_positions": [[0.0000, 0.0000, 0.0000], [0.0000, 0.0000, 0.5000], [0.3333, 0.6667, 0.7344], [0.6667, 0.3333, 0.2656], [0.3333, 0.6667, 0.2633], [0.6667, 0.3333, 0.7367]]
}

---

[3]
{
  "formula": "LaPrGaPd",
  "functional": "GGA-PBE",
  "state": "optimized geometry",
  "dos_ef_per_ev_atom": 1.2763,
  "cell": [[4.4624, 0.0000, 0.0000], [0.0000, 2.0541, 5.7551], [0.0000, -2.0541, 5.7551]],
  "species": ["La", "Pr", "Ga", "Pd"],
  "fractional_positions": [[0.0000, 0.0000, 0.0000], [0.5000, 0.7191, 0.7191], [0.0000, 0.2849, 0.2849], [0.5000, 0.4327, 0.4327]]
}

---

[4]
{
  "formula": "LaPrGaPd",
  "functional": "GGA-PBE",
  "state": "optimized geometry",
  "dos_ef_per_ev_atom": 0.9691,
  "cell": [[0.0000, 3.7214, 3.7214], [3.7214, 0.0000, 3.7214], [3.7214, 3.7214, 0.0000]],
  "species": ["La", "Pr", "Ga", "Pd"],
  "fractional_positions": [[0.0000, 0.0000, 0.0000], [0.5000, 0.5000, 0.5000], [0.2500, 0.2500, 0.2500], [0.7500, 0.7500, 0.7500]]
}

---

[5]
{
  "formula": "LaPrGa2Pd2",
  "functional": "GGA-PBE",
  "state": "optimized geometry",
  "dos_ef_per_ev_atom": 0.7144,
  "cell": [[4.5513, 0.0000, 0.0000], [-2.2756, 3.9415, 0.0000], [0.0000, 0.0000, 7.5125]],
  "species": ["La", "Pr", "Ga", "Ga", "Pd", "Pd"],
  "fractional_positions": [[0.0000, 0.0000, 0.0000], [0.0000, 0.0000, 0.5000], [0.3333, 0.6667, 0.2572], [0.6667, 0.3333, 0.7428], [0.3333, 0.6667, 0.7457], [0.6667, 0.3333, 0.2543]]
}

---

[6]
{
  "formula": "La2Ga3Pd4Pt",
  "functional": "GGA-PBE",
  "state": "optimized geometry",
  "dos_ef_per_ev_atom": 0.6585,
  "cell": [[4.1328, 0.0000, 0.0000], [0.0000, 4.1328, 0.0000], [0.0000, 0.0000, 11.6050]],
  "species": ["La", "La", "Ga", "Ga", "Ga", "Pd", "Pd", "Pd", "Pd", "Pt"],
  "fractional_positions": [[0.0000, 0.5000, 0.2315], [0.5000, 0.0000, 0.7685], [0.0000, 0.0000, 0.0000], [0.0000, 0.5000, 0.6273], [0.5000, 0.0000, 0.3727], [0.0000, 0.0000, 0.5000], [0.0000, 0.5000, 0.8436], [0.5000, 0.0000, 0.1564], [0.5000, 0.5000, 0.5000], [0.5000, 0.5000, 0.0000]]
}

---

[7]
{
  "formula": "LaGa5Pd2Pt",
  "functional": "GGA-PBE",
  "state": "optimized geometry",
  "dos_ef_per_ev_atom": 0.4285,
  "cell": [[4.3693, 0.0000, 0.0000], [0.0000, 4.3693, 0.0000], [0.0000, 0.0000, 10.0444]],
  "species": ["La", "Ga", "Ga", "Ga", "Ga", "Ga", "Pd", "Pd", "Pt"],
  "fractional_positions": [[0.0000, 0.0000, 0.0000], [0.0000, 0.5000, 0.3541], [0.0000, 0.5000, 0.6459], [0.5000, 0.0000, 0.3541], [0.5000, 0.0000, 0.6459], [0.5000, 0.5000, 0.0000], [0.5000, 0.5000, 0.2332], [0.5000, 0.5000, 0.7668], [0.0000, 0.0000, 0.5000]]
}

---

[8]
{
  "formula": "LaGa2Pd2Pt",
  "functional": "GGA-PBE",
  "state": "optimized geometry",
  "dos_ef_per_ev_atom": 0.4291,
  "cell": [[4.7671, 0.0000, 0.0000], [0.0000, 4.7671, 0.0000], [0.0000, 0.0000, 5.6193]],
  "species": ["La", "Ga", "Ga", "Pd", "Pd", "Pt"],
  "fractional_positions": [[0.0000, 0.0000, 0.0000], [0.0000, 0.5000, 0.5000], [0.5000, 0.0000, 0.5000], [0.5000, 0.5000, 0.2447], [0.5000, 0.5000, 0.7553], [0.0000, 0.0000, 0.5000]]
}

---

[9]
{
  "formula": "La2Ga3PdPt12",
  "functional": "GGA-PBE",
  "state": "optimized geometry",
  "dos_ef_per_ev_atom": 0.4837,
  "cell": [[4.0966, 2.3652, 6.3936], [-4.0966, 2.3652, 6.3936], [0.0000, -4.7304, 6.3936]],
  "species": ["La", "La", "Ga", "Ga", "Ga", "Pd", "Pt", "Pt", "Pt", "Pt", "Pt", "Pt", "Pt", "Pt", "Pt", "Pt", "Pt", "Pt"],
  "fractional_positions": [[0.1196, 0.1196, 0.1196], [0.8804, 0.8804, 0.8804], [0.0000, 0.5000, 0.5000], [0.5000, 0.0000, 0.5000], [0.5000, 0.5000, 0.0000], [0.5000, 0.5000, 0.5000], [0.1149, 0.6348, 0.6348], [0.1290, 0.1290, 0.6158], [0.1290, 0.6158, 0.1290], [0.3652, 0.3652, 0.8851], [0.3652, 0.8851, 0.3652], [0.3842, 0.8710, 0.8710], [0.6158, 0.1290, 0.1290], [0.6348, 0.1149, 0.6348], [0.6348, 0.6348, 0.1149], [0.8710, 0.3842, 0.8710], [0.8710, 0.8710, 0.3842], [0.8851, 0.3652, 0.3652]]
}

---

[10]
{
  "formula": "LaGa2PdPt2",
  "functional": "GGA-PBE",
  "state": "optimized geometry",
  "dos_ef_per_ev_atom": 0.4951,
  "cell": [[4.3940, 0.0000, 0.0000], [-2.1970, 3.8053, 0.0000], [0.0000, 0.0000, 6.8416]],
  "species": ["La", "Ga", "Ga", "Pd", "Pt", "Pt"],
  "fractional_positions": [[0.0000, 0.0000, 0.0000], [0.3333, 0.6667, 0.3284], [0.6667, 0.3333, 0.6716], [0.0000, 0.0000, 0.5000], [0.3333, 0.6667, 0.7166], [0.6667, 0.3333, 0.2834]]
}

---

[11]
{
  "formula": "LaGa5PdPt2",
  "functional": "GGA-PBE",
  "state": "optimized geometry",
  "dos_ef_per_ev_atom": 0.4175,
  "cell": [[4.3911, 0.0000, 0.0000], [0.0000, 4.3911, 0.0000], [0.0000, 0.0000, 9.9697]],
  "species": ["La", "Ga", "Ga", "Ga", "Ga", "Ga", "Pd", "Pt", "Pt"],
  "fractional_positions": [[0.0000, 0.0000, 0.0000], [0.0000, 0.5000, 0.3546], [0.0000, 0.5000, 0.6454], [0.5000, 0.0000, 0.3546], [0.5000, 0.0000, 0.6454], [0.5000, 0.5000, 0.0000], [0.0000, 0.0000, 0.5000], [0.5000, 0.5000, 0.2349], [0.5000, 0.5000, 0.7651]]
}

---

[12]
{
  "formula": "LaGa2PdPt5",
  "functional": "GGA-PBE",
  "state": "optimized geometry",
  "dos_ef_per_ev_atom": 0.7208,
  "cell": [[4.0211, 0.0000, 0.0000], [0.0000, 4.0211, 0.0000], [0.0000, 0.0000, 11.4900]],
  "species": ["La", "Ga", "Ga", "Pd", "Pt", "Pt", "Pt", "Pt", "Pt"],
  "fractional_positions": [[0.0000, 0.0000, 0.0000], [0.5000, 0.5000, 0.2149], [0.5000, 0.5000, 0.7851], [0.0000, 0.0000, 0.5000], [0.0000, 0.5000, 0.3439], [0.0000, 0.5000, 0.6561], [0.5000, 0.0000, 0.3439], [0.5000, 0.0000, 0.6561], [0.5000, 0.5000, 0.0000]]
}

---

[13]
{
  "formula": "La2GaPd2Pt5",
  "functional": "GGA-PBE",
  "state": "optimized geometry",
  "dos_ef_per_ev_atom": 0.4657,
  "cell": [[9.6270, 0.0000, 0.0000], [0.0000, 9.6270, 0.0000], [0.0000, 0.0000, 4.1098]],
  "species": ["La", "La", "La", "La", "Ga", "Ga", "Pd", "Pd", "Pd", "Pd", "Pt", "Pt", "Pt", "Pt", "Pt", "Pt", "Pt", "Pt", "Pt", "Pt"],
  "fractional_positions": [[0.1731, 0.3269, 0.0000], [0.3269, 0.8269, 0.0000], [0.6731, 0.1731, 0.0000], [0.8269, 0.6731, 0.0000], [0.0000, 0.0000, 0.0000], [0.5000, 0.5000, 0.0000], [0.1292, 0.6292, 0.0000], [0.3708, 0.1292, 0.0000], [0.6292, 0.8708, 0.0000], [0.8708, 0.3708, 0.0000], [0.0000, 0.5000, 0.5000], [0.0533, 0.8006, 0.5000], [0.1994, 0.0533, 0.5000], [0.3006, 0.5533, 0.5000], [0.4467, 0.3006, 0.5000], [0.5000, 0.0000, 0.5000], [0.5533, 0.6994, 0.5000], [0.6994, 0.4467, 0.5000], [0.8006, 0.9467, 0.5000], [0.9467, 0.1994, 0.5000]]
}

---

[14]
{
  "formula": "La2Ga4PdPt3",
  "functional": "GGA-PBE",
  "state": "optimized geometry",
  "dos_ef_per_ev_atom": 0.9336,
  "cell": [[4.3961, 0.0000, 0.0000], [0.0000, 4.3961, 0.0000], [0.0000, 0.0000, 10.3067]],
  "species": ["La", "La", "Ga", "Ga", "Ga", "Ga", "Pd", "Pt", "Pt", "Pt"],
  "fractional_positions": [[0.0000, 0.5000, 0.2456], [0.5000, 0.0000, 0.7544], [0.0000, 0.0000, 0.0000], [0.0000, 0.5000, 0.6257], [0.5000, 0.0000, 0.3743], [0.5000, 0.5000, 0.0000], [0.0000, 0.0000, 0.5000], [0.0000, 0.5000, 0.8695], [0.5000, 0.0000, 0.1305], [0.5000, 0.5000, 0.5000]]
}

---

[15]
{
  "formula": "La2PuGa3Pd4",
  "functional": "GGA-PBE",
  "state": "optimized geometry",
  "dos_ef_per_ev_atom": 1.2365,
  "cell": [[4.4181, 0.0000, 0.0000], [0.0000, 4.4181, 0.0000], [0.0000, 0.0000, 10.9544]],
  "species": ["La", "La", "Pu", "Ga", "Ga", "Ga", "Pd", "Pd", "Pd", "Pd"],
  "fractional_positions": [[0.0000, 0.5000, 0.2329], [0.5000, 0.0000, 0.7671], [0.0000, 0.0000, 0.5000], [0.0000, 0.5000, 0.8834], [0.5000, 0.0000, 0.1166], [0.5000, 0.5000, 0.5000], [0.0000, 0.0000, 0.0000], [0.0000, 0.5000, 0.6550], [0.5000, 0.0000, 0.3450], [0.5000, 0.5000, 0.0000]]
}

---

[16]
{
  "formula": "La2PuGa4Pd3",
  "functional": "GGA-PBE",
  "state": "optimized geometry",
  "dos_ef_per_ev_atom": 1.6172,
  "cell": [[4.3757, 0.0000, 0.0000], [0.0000, 4.3757, 0.0000], [0.0000, 0.0000, 11.3680]],
  "species": ["La", "La", "Pu", "Ga", "Ga", "Ga", "Ga", "Pd", "Pd", "Pd"],
  "fractional_positions": [[0.0000, 0.5000, 0.2318], [0.5000, 0.0000, 0.7682], [0.0000, 0.0000, 0.5000], [0.0000, 0.0000, 0.0000], [0.0000, 0.5000, 0.6689], [0.5000, 0.0000, 0.3311], [0.5000, 0.5000, 0.0000], [0.0000, 0.5000, 0.8848], [0.5000, 0.0000, 0.1152], [0.5000, 0.5000, 0.5000]]
}

---

[17]
{
  "formula": "LaGa4PdRh2",
  "functional": "GGA-PBE",
  "state": "optimized geometry",
  "dos_ef_per_ev_atom": 0.6200,
  "cell": [[2.1476, 1.2399, 8.9684], [-2.1476, 1.2399, 8.9684], [0.0000, -2.4798, 8.9684]],
  "species": ["La", "Ga", "Ga", "Ga", "Ga", "Pd", "Rh", "Rh"],
  "fractional_positions": [[0.0000, 0.0000, 0.0000], [0.1295, 0.1295, 0.1295], [0.4027, 0.4027, 0.4027], [0.5973, 0.5973, 0.5973], [0.8705, 0.8705, 0.8705], [0.5000, 0.5000, 0.5000], [0.2292, 0.2292, 0.2292], [0.7708, 0.7708, 0.7708]]
}

---

[18]
{
  "formula": "LaGaPdRh",
  "functional": "GGA-PBE",
  "state": "optimized geometry",
  "dos_ef_per_ev_atom": 0.4688,
  "cell": [[4.6622, 0.0000, 0.0000], [0.0000, 1.6743, 5.1013], [0.0000, -1.6743, 5.1013]],
  "species": ["La", "Ga", "Pd", "Rh"],
  "fractional_positions": [[0.0000, 0.0000, 0.0000], [0.5000, 0.6554, 0.6554], [0.0000, 0.7424, 0.7424], [0.5000, 0.3612, 0.3612]]
}

---

[19]
{
  "formula": "LaGa2Pd2Rh",
  "functional": "GGA-PBE",
  "state": "optimized geometry",
  "dos_ef_per_ev_atom": 0.3432,
  "cell": [[4.7290, 0.0000, 0.0000], [0.0000, 4.7290, 0.0000], [0.0000, 0.0000, 5.5111]],
  "species": ["La", "Ga", "Ga", "Pd", "Pd", "Rh"],
  "fractional_positions": [[0.0000, 0.0000, 0.0000], [0.0000, 0.5000, 0.5000], [0.5000, 0.0000, 0.5000], [0.5000, 0.5000, 0.2474], [0.5000, 0.5000, 0.7526], [0.0000, 0.0000, 0.5000]]
}

---

[20]
{
  "formula": "LaGa4PdRu2",
  "functional": "GGA-PBE",
  "state": "optimized geometry",
  "dos_ef_per_ev_atom": 0.4648,
  "cell": [[2.1476, 1.2399, 8.9331], [-2.1476, 1.2399, 8.9331], [0.0000, -2.4798, 8.9331]],
  "species": ["La", "Ga", "Ga", "Ga", "Ga", "Pd", "Ru", "Ru"],
  "fractional_positions": [[0.0000, 0.0000, 0.0000], [0.1295, 0.1295, 0.1295], [0.4032, 0.4032, 0.4032], [0.5968, 0.5968, 0.5968], [0.8705, 0.8705, 0.8705], [0.5000, 0.5000, 0.5000], [0.2294, 0.2294, 0.2294], [0.7706, 0.7706, 0.7706]]
}

---

Number 1: DFT formation energy -0.608 eV per atom. Number 2: DFT formation energy -0.823 eV per atom. Number 3: DFT formation energy -0.664 eV per atom. Number 4: DFT formation energy -0.589 eV per atom. Number 5: DFT formation energy -0.808 eV per atom. Number 6: DFT formation energy -0.801 eV per atom. Number 7: DFT formation energy -0.481 eV per atom. Number 8: DFT formation energy -0.594 eV per atom. Number 9: DFT formation energy -0.328 eV per atom. Number 10: DFT formation energy -0.938 eV per atom. Number 11: DFT formation energy -0.529 eV per atom. Number 12: DFT formation energy -0.434 eV per atom. Number 13: DFT formation energy -0.788 eV per atom. Number 14: DFT formation energy -0.973 eV per atom. Number 15: DFT formation energy -0.728 eV per atom. Number 16: DFT formation energy -0.632 eV per atom. Number 17: DFT formation energy -0.681 eV per atom. Number 18: DFT formation energy -0.515 eV per atom. Number 19: DFT formation energy -0.594 eV per atom. Number 20: DFT formation energy -0.481 eV per atom.